Density functional theory data (PBE+U) for a geometry-optimized Rb2ZnFeF6 structure.

Uncorrected energy ... -4.4749 eV/atom
Magnetic moment ... 8.0 μB/cell
V ... 14.9 A^3/atom

a = 5.943 Å, b = 5.943 Å, c = 8.462 Å
α = 90.00°, β = 90.00°, γ = 90.00°
Space group I4/mmm (No. 139)
Symmetry-distinct sites (fractional):
Rb 0.000 0.500 0.250
Zn 0.000 0.000 0.000
Fe 0.000 0.000 0.500
F 0.000 0.000 0.245
F 0.250 0.250 0.000